# 1
A plane-wave DFT calculation with PBE was carried out for an optimized crystal structure of TaAlP4.

Properties
- raw total energy (eV/atom) = -5.684
- formation energy from the elements (eV per atom) = 0.521

a = 7.0924 Å, b = 7.0924 Å, c = 7.0924 Å
α = 90.00°, β = 90.00°, γ = 90.00°
With the nearest neighbours (Å) after each atom.
Space group F-43m (No. 216)
Asymmetric unit:
1 Ta 0.0000 0.0000 0.0000 [4 per cell]  12 P 2.94, 4 Al 3.07
2 Al 0.2500 0.2500 0.2500 [4 per cell]  12 P 2.94, 4 Ta 3.07
3 P 0.1268 0.1268 0.6268 [16 per cell]  6 P 2.47-2.54

***

# 2
A plane-wave DFT calculation with PBE was carried out for an optimized crystal structure of Ta2ZnAs.

Properties
- raw total energy (eV/atom) = -7.064
- energy relative to the lowest polymorph listed for this composition (eV/f.u.) = 1.59
- formation energy from the elements (eV per atom) = 0.343

a = 3.9065 Å, b = 3.9065 Å, c = 19.1559 Å
α = 90.00°, β = 90.00°, γ = 90.00°
With the nearest neighbours (Å) after each atom.
Space group I-42d (No. 122)
Asymmetric unit:
1 Ta 0.2503 0.2500 0.1250 [8 per cell]  4 Ta 2.76, 2 As 2.76, 2 Zn 2.76
2 Zn 0.0000 0.0000 0.0000 [4 per cell]  4 As 2.76, 4 Ta 2.76
3 As 0.0000 0.0000 0.5000 [4 per cell]  4 Zn 2.76, 4 Ta 2.76

***

# 3
A plane-wave DFT calculation with PBE was carried out for an optimized crystal structure of LaCd2Au.

Properties
- raw total energy (eV/atom) = -2.894
- formation energy from the elements (eV per atom) = -0.385

a = 4.4413 Å, b = 4.4413 Å, c = 5.2019 Å
α = 90.00°, β = 90.00°, γ = 90.00°
With the nearest neighbours (Å) after each atom.
Space group P4/mmm (No. 123)
Asymmetric unit:
1 La 0.0000 0.0000 0.0000 [1 per cell]  4 Au 3.14, 8 Cd 3.42
2 Cd 0.0000 0.5000 0.5000 [2 per cell]  4 Cd 3.14, 4 La 3.42, 4 Au 3.42
3 Au 0.5000 0.5000 0.0000 [1 per cell]  4 La 3.14, 8 Cd 3.42

***

# 4
A plane-wave DFT calculation with PBE was carried out for an optimized crystal structure of Ho3Ga3Ag2.

Properties
- raw total energy (eV/atom) = -4.071
- formation energy from the elements (eV per atom) = -0.507

a = 4.4285 Å, b = 10.7575 Å, c = 14.5971 Å
α = 90.00°, β = 90.00°, γ = 90.00°
With the nearest neighbours (Å) after each atom.
Space group Cmcm (No. 63)
Asymmetric unit:
1 Ho 0.0000 0.0863 0.1098 [8 per cell]  6 Ga 3.07-3.18, 4 Ag 3.13-3.31
2 Ho 0.0000 0.3562 0.2500 [4 per cell]  5 Ga 3.07-3.20, 4 Ag 3.21
3 Ga 0.0000 0.3581 0.7500 [4 per cell]  2 Ag 2.74
4 Ga 0.0000 0.3952 0.0415 [8 per cell]  1 Ga 2.56, 3 Ag 2.61-2.86
5 Ag 0.0000 0.2087 0.5982 [8 per cell]  4 Ga 2.61-2.86